Record 1
{"formula": "Pm2DyHoSe5", "functional": "PBE", "state": "optimized geometry", "cell": [[5.128, 0.000, 0.000], [0.000, 5.128, 0.000], [0.000, 0.000, 10.731]], "species": ["Ho", "Se", "Se", "Se", "Se", "Se", "Pm", "Pm", "Dy"], "frac_coords": [[0.000, 0.000, 0.500], [0.500, 0.000, 0.500], [0.000, 0.000, 0.754], [0.000, 0.000, 0.246], [0.000, 0.500, 0.500], [0.500, 0.500, 0.000], [0.500, 0.500, 0.327], [0.500, 0.500, 0.673], [0.000, 0.000, 0.000]], "final_energy_ev_per_atom": -5.250, "n_ef_per_ev_fu": 6.04, "raw_formation_energy_mev_per_atom": -1239}

=====

Record 2
{"formula": "PmDy4HoSe8", "functional": "PBE", "state": "optimized geometry", "cell": [[-6.028, -0.866, 5.859], [-3.937, -7.417, 0.947], [1.430, -4.696, 6.871]], "species": ["Pm", "Ho", "Dy", "Dy", "Dy", "Dy", "Se", "Se", "Se", "Se", "Se", "Se", "Se", "Se"], "frac_coords": [[0.375, 0.375, 0.875], [0.000, 0.000, 0.001], [0.999, 0.502, 0.499], [0.999, 0.999, 0.499], [0.502, 0.999, 0.499], [0.625, 0.625, 0.126], [0.758, 0.758, 0.256], [0.781, 0.239, 0.741], [0.228, 0.758, 0.256], [0.239, 0.781, 0.741], [0.239, 0.239, 0.741], [0.758, 0.228, 0.256], [0.240, 0.240, 0.280], [0.757, 0.757, 0.729]], "final_energy_ev_per_atom": -5.687, "n_ef_per_ev_fu": 8.83, "raw_formation_energy_mev_per_atom": -1714}

=====

Record 3
{"formula": "Pm3Dy2HoSe6", "functional": "PBE", "state": "optimized geometry", "cell": [[4.101, 0.000, 0.000], [0.000, 8.338, 0.219], [-2.050, -2.485, 8.692]], "species": ["Dy", "Dy", "Pm", "Pm", "Pm", "Se", "Se", "Se", "Se", "Se", "Se", "Ho"], "frac_coords": [[0.167, 0.334, 0.334], [0.833, 0.666, 0.666], [0.167, 0.833, 0.334], [0.833, 0.167, 0.666], [0.500, 0.500, 0.000], [0.669, 0.577, 0.338], [0.336, 0.911, 0.673], [0.002, 0.242, 0.005], [0.998, 0.758, 0.995], [0.331, 0.423, 0.662], [0.664, 0.089, 0.327], [0.500, 0.000, 0.000]], "final_energy_ev_per_atom": -5.870, "n_ef_per_ev_fu": 5.35, "raw_formation_energy_mev_per_atom": -1791}

=====

Record 4
{"formula": "PmDy4Ho3Se8", "functional": "PBE", "state": "optimized geometry", "cell": [[-6.653, -2.448, -4.060], [4.706, -2.569, -6.163], [1.372, -2.692, 7.593]], "species": ["Se", "Se", "Se", "Se", "Se", "Se", "Se", "Se", "Pm", "Dy", "Dy", "Dy", "Dy", "Ho", "Ho", "Ho"], "frac_coords": [[0.749, 0.748, 0.499], [0.254, 0.752, 0.508], [0.251, 0.252, 0.501], [0.746, 0.248, 0.001], [0.745, 0.752, 0.999], [0.255, 0.248, 0.001], [0.746, 0.248, 0.492], [0.254, 0.752, 0.999], [0.000, 0.500, 0.000], [0.000, 0.000, 0.000], [0.500, 0.000, 0.000], [0.000, 0.000, 0.500], [0.500, 0.000, 0.500], [0.500, 0.500, 0.000], [0.500, 0.500, 0.500], [0.000, 0.500, 0.500]], "final_energy_ev_per_atom": -5.790, "n_ef_per_ev_fu": 10.46, "raw_formation_energy_mev_per_atom": -1742}

=====

Record 5
{"formula": "PmDy3Ho3Se8", "functional": "PBE", "state": "optimized geometry", "cell": [[8.116, 0.000, 0.000], [-4.058, 7.029, -0.024], [0.000, -4.663, 6.645]], "species": ["Dy", "Dy", "Dy", "Se", "Se", "Se", "Se", "Se", "Se", "Se", "Se", "Ho", "Ho", "Ho", "Pm"], "frac_coords": [[0.000, 0.500, 0.000], [0.500, 0.500, 0.000], [0.000, 0.000, 0.000], [0.741, 0.001, 0.242], [0.740, 0.999, 0.758], [0.749, 0.499, 0.748], [0.251, 0.501, 0.252], [0.259, 0.999, 0.758], [0.260, 0.001, 0.242], [0.741, 0.482, 0.242], [0.259, 0.518, 0.758], [0.500, 0.500, 0.500], [0.500, 0.000, 0.500], [0.000, 0.500, 0.500], [0.000, 0.000, 0.500]], "final_energy_ev_per_atom": -5.833, "n_ef_per_ev_fu": 5.94, "raw_formation_energy_mev_per_atom": -1822}

=====

Record 6
{"formula": "Pm2SmDy2Ho2", "functional": "PBE", "state": "optimized geometry", "cell": [[-0.063, -4.799, 1.607], [3.916, 3.657, 3.104], [-6.543, 1.546, 4.360]], "species": ["Sm", "Dy", "Dy", "Ho", "Ho", "Pm", "Pm"], "frac_coords": [[0.000, 0.000, 0.000], [0.285, 0.570, 0.859], [0.715, 0.430, 0.141], [0.571, 0.143, 0.716], [0.429, 0.857, 0.284], [0.143, 0.285, 0.428], [0.857, 0.715, 0.572]], "final_energy_ev_per_atom": -4.638, "n_ef_per_ev_fu": 9.34, "ef_kj_per_mol_atoms": 2}

=====

Record 7
{"formula": "Pm3SmDyHo", "functional": "PBE", "state": "optimized geometry", "cell": [[5.113, 0.000, 0.000], [0.000, 7.971, -1.173], [0.000, -3.356, 10.269]], "species": ["Pm", "Pm", "Pm", "Pm", "Pm", "Pm", "Sm", "Sm", "Dy", "Dy", "Ho", "Ho"], "frac_coords": [[0.750, 0.373, 0.542], [0.250, 0.127, 0.958], [0.250, 0.623, 0.792], [0.750, 0.377, 0.208], [0.250, 0.627, 0.458], [0.750, 0.873, 0.042], [0.250, 0.123, 0.292], [0.750, 0.877, 0.708], [0.250, 0.626, 0.125], [0.750, 0.374, 0.875], [0.750, 0.876, 0.375], [0.250, 0.124, 0.625]], "final_energy_ev_per_atom": -4.673, "n_ef_per_ev_fu": 8.50, "ef_kj_per_mol_atoms": 2}

=====

Record 8
{"formula": "PmSm4DyHo2", "functional": "PBE", "state": "optimized geometry", "cell": [[-1.648, -1.233, -2.952], [2.136, -5.717, 1.196], [-8.889, -4.194, 6.715]], "species": ["Sm", "Sm", "Sm", "Sm", "Dy", "Ho", "Ho", "Pm"], "frac_coords": [[0.500, 0.249, 0.752], [0.000, 0.250, 0.249], [0.000, 0.750, 0.751], [0.500, 0.751, 0.248], [0.500, 0.500, 0.000], [0.500, 0.000, 0.500], [0.000, 0.000, 0.000], [0.000, 0.500, 0.500]], "final_energy_ev_per_atom": -4.656, "n_ef_per_ev_fu": 11.13, "ef_kj_per_mol_atoms": 2}

=====

Repeat the fourth record exactly.
{"formula": "PmDy4Ho3Se8", "functional": "PBE", "state": "optimized geometry", "cell": [[-6.653, -2.448, -4.060], [4.706, -2.569, -6.163], [1.372, -2.692, 7.593]], "species": ["Se", "Se", "Se", "Se", "Se", "Se", "Se", "Se", "Pm", "Dy", "Dy", "Dy", "Dy", "Ho", "Ho", "Ho"], "frac_coords": [[0.749, 0.748, 0.499], [0.254, 0.752, 0.508], [0.251, 0.252, 0.501], [0.746, 0.248, 0.001], [0.745, 0.752, 0.999], [0.255, 0.248, 0.001], [0.746, 0.248, 0.492], [0.254, 0.752, 0.999], [0.000, 0.500, 0.000], [0.000, 0.000, 0.000], [0.500, 0.000, 0.000], [0.000, 0.000, 0.500], [0.500, 0.000, 0.500], [0.500, 0.500, 0.000], [0.500, 0.500, 0.500], [0.000, 0.500, 0.500]], "final_energy_ev_per_atom": -5.790, "n_ef_per_ev_fu": 10.46, "raw_formation_energy_mev_per_atom": -1742}

=====

Copy entry 8 word for word.
{"formula": "PmSm4DyHo2", "functional": "PBE", "state": "optimized geometry", "cell": [[-1.648, -1.233, -2.952], [2.136, -5.717, 1.196], [-8.889, -4.194, 6.715]], "species": ["Sm", "Sm", "Sm", "Sm", "Dy", "Ho", "Ho", "Pm"], "frac_coords": [[0.500, 0.249, 0.752], [0.000, 0.250, 0.249], [0.000, 0.750, 0.751], [0.500, 0.751, 0.248], [0.500, 0.500, 0.000], [0.500, 0.000, 0.500], [0.000, 0.000, 0.000], [0.000, 0.500, 0.500]], "final_energy_ev_per_atom": -4.656, "n_ef_per_ev_fu": 11.13, "ef_kj_per_mol_atoms": 2}